VASP calculation (GGA-PBE) on a relaxed Ni2RhSe3 crystal.

As for the formation energy from raw total energies: -0.27 eV per atom. For the final energy, the calculation gives -5.1627 eV/atom. The magnetic moment comes out at 0.00 μB/cell.

```
data_Ni2RhSe3
_chemical_formula_sum 'Ni4 Rh2 Se6'
_space_group_name_H-M_alt 'P 1 21/m 1'
_space_group_IT_number 11
_space_group_name_Hall '-P 2yb'
_cell_length_a 6.595
_cell_length_b 3.573
_cell_length_c 10.329
_cell_angle_alpha 90.00
_cell_angle_beta 105.88
_cell_angle_gamma 90.00
loop_
_atom_site_label
_atom_site_type_symbol
_atom_site_fract_x
_atom_site_fract_y
_atom_site_fract_z
_atom_site_occupancy
Ni1 Ni 0.067 0.250 0.432 1
Ni2 Ni 0.400 0.750 0.910 1
Rh1 Rh 0.230 0.250 0.701 1
Se1 Se 0.042 0.750 0.800 1
Se2 Se 0.296 0.750 0.531 1
Se3 Se 0.406 0.750 0.140 1
```